1.
## LaTb2Au (PBE)

Data for a relaxed structure of LaTb2Au.

Structure (extended XYZ):
```
4
Lattice="-1.625 -1.078 3.292 0.309 -3.623 1.190 7.912 0.750 6.375" Properties=species:S:1:pos:R:3 pbc="T T T"
Tb 1.223 -1.106 2.465
Au -0.854 -3.127 3.002
La 3.262 -1.985 5.408
Tb 6.263 0.292 5.411
```

Output
Excess energy over the best structure of this formula in the dataset, meV/atom: 141
Symmetry: R3m
Formation energy from the elements, meV/atom: -281

2.
## LaTb2Au (PBE)

Data for a relaxed structure of LaTb2Au.

Structure (extended XYZ):
```
4
Lattice="-1.772 1.420 2.871 -3.189 -1.091 -1.428 0.714 -7.552 4.176" Properties=species:S:1:pos:R:3 pbc="T T T"
Tb 0.572 -6.047 3.344
Au -2.480 0.164 0.722
La -2.123 -3.612 2.810
Tb 0.142 -1.505 0.832
```

Output
Excess energy over the best structure of this formula in the dataset, meV/atom: 23
Symmetry: P4/mmm
Formation energy from the elements, meV/atom: -399

3.
## LaTb2Au (PBE)

Data for a relaxed structure of LaTb2Au.

Structure (extended XYZ):
```
4
Lattice="3.773 0.000 0.000 1.886 3.267 0.000 1.886 1.089 10.109" Properties=species:S:1:pos:R:3 pbc="T T T"
Tb 1.886 1.089 2.029
La 3.773 2.178 5.055
Au 0.000 0.000 0.000
Tb 5.659 3.267 8.080
```

Output
Excess energy over the best structure of this formula in the dataset, meV/atom: 146
Symmetry: R-3m
Formation energy from the elements, meV/atom: -276

4.
## La4TbAu5 (PBE)

Data for a relaxed structure of La4TbAu5.

Structure (extended XYZ):
```
10
Lattice="3.717 0.000 0.000 0.000 3.717 0.000 0.000 0.000 19.034" Properties=species:S:1:pos:R:3 pbc="T T T"
Au 1.859 1.859 17.356
La 0.000 0.000 11.452
La 0.000 0.000 15.323
La 0.000 0.000 3.711
Tb 0.000 0.000 0.000
Au 1.859 1.859 1.678
Au 1.859 1.859 13.383
Au 1.859 1.859 9.517
Au 1.859 1.859 5.651
La 0.000 0.000 7.582
```

Output
Symmetry: P4/mmm
Formation energy from the elements, meV/atom: -792

Question: Look up the formation energy from the elements of the second one.
Answer: -399 meV/atom

Question: Which formula does entry 2 have?
Answer: LaTb2Au

Question: formation energy from the elements of number 4 (La4TbAu5)?
Answer: -792 meV/atom